Entry from Alexandria: Sn3CSe after structural relaxation (GGA-PBE).

ΔE_f (raw), kJ/mol of atoms: 163.8
Space group: No. 221
Energy above the lowest structure with this stoichiometry, meV/atom: 951.0

extended XYZ file:
```
5
Lattice="5.569 0.000 0.000 0.000 5.569 0.000 0.000 0.000 5.569" Properties=species:S:1:pos:R:3 pbc="T T T"
Sn 0.000 0.000 2.784
Sn 0.000 2.784 0.000
Sn 2.784 0.000 0.000
C 2.784 2.784 2.784
Se 0.000 0.000 0.000
```